The following is a DFT calculation (SCAN) of a PBEsol-optimized structure of Sc2TaSi.

```
data_Sc2TaSi
_chemical_formula_sum 'Sc2 Ta1 Si1'
_symmetry_space_group_name_H-M 'P 1'
_symmetry_Int_Tables_number 1
_symmetry_space_group_name_Hall 'P 1'
_cell_length_a 2.9315
_cell_length_b 2.9315
_cell_length_c 8.6682
_cell_angle_alpha 90.00
_cell_angle_beta 90.00
_cell_angle_gamma 90.00
loop_
_atom_site_label
_atom_site_type_symbol
_atom_site_fract_x
_atom_site_fract_y
_atom_site_fract_z
_atom_site_occupancy
Sc1 Sc 0.0000 0.0000 0.0000 1
Sc2 Sc 0.5000 0.5000 0.3158 1
Ta1 Ta 0.5000 0.5000 0.7374 1
Si1 Si 0.0000 0.0000 0.5304 1
```

Output
Density of states at the Fermi level: 2.9 states/eV/cell
Total energy: -26.385 eV/atom
Energy relative to the elements, uncorrected: -0.117 eV/atom
Space group: P4mm



The following is a DFT calculation (SCAN) of a PBEsol-optimized structure of Sc2TaSi2.

```
data_Sc2TaSi2
_chemical_formula_sum 'Sc4 Ta2 Si4'
_symmetry_space_group_name_H-M 'P 1'
_symmetry_Int_Tables_number 1
_symmetry_space_group_name_Hall 'P 1'
_cell_length_a 6.8296
_cell_length_b 6.8296
_cell_length_c 3.7027
_cell_angle_alpha 90.00
_cell_angle_beta 90.00
_cell_angle_gamma 90.00
loop_
_atom_site_label
_atom_site_type_symbol
_atom_site_fract_x
_atom_site_fract_y
_atom_site_fract_z
_atom_site_occupancy
Sc1 Sc 0.1751 0.3249 0.0000 1
Sc2 Sc 0.3249 0.8249 0.0000 1
Sc3 Sc 0.6751 0.1751 0.0000 1
Sc4 Sc 0.8249 0.6751 0.0000 1
Ta1 Ta 0.0000 0.0000 0.5000 1
Ta2 Ta 0.5000 0.5000 0.5000 1
Si1 Si 0.1275 0.6275 0.5000 1
Si2 Si 0.3725 0.1275 0.5000 1
Si3 Si 0.6275 0.8725 0.5000 1
Si4 Si 0.8725 0.3725 0.5000 1
```

Output
Density of states at the Fermi level: 6.7 states/eV/cell
Total energy: -23.656 eV/atom
Energy relative to the elements, uncorrected: -0.638 eV/atom
Space group: P4/mbm



The following is a DFT calculation (SCAN) of a PBEsol-optimized structure of Sc2TaSi.

```
data_Sc2TaSi
_chemical_formula_sum 'Sc2 Ta1 Si1'
_symmetry_space_group_name_H-M 'P 1'
_symmetry_Int_Tables_number 1
_symmetry_space_group_name_Hall 'P 1'
_cell_length_a 4.1403
_cell_length_b 4.1403
_cell_length_c 4.1380
_cell_angle_alpha 90.00
_cell_angle_beta 90.00
_cell_angle_gamma 90.00
loop_
_atom_site_label
_atom_site_type_symbol
_atom_site_fract_x
_atom_site_fract_y
_atom_site_fract_z
_atom_site_occupancy
Sc1 Sc 0.0000 0.5000 0.0000 1
Sc2 Sc 0.5000 0.0000 0.0000 1
Ta1 Ta 0.0000 0.0000 0.5000 1
Si1 Si 0.5000 0.5000 0.5000 1
```

Output
Density of states at the Fermi level: 4.5 states/eV/cell
Total energy: -26.446 eV/atom
Energy relative to the elements, uncorrected: -0.178 eV/atom
Space group: P4/mmm



The following is a DFT calculation (SCAN) of a PBEsol-optimized structure of ScTaSi2.

```
data_ScTaSi2
_chemical_formula_sum 'Sc1 Ta1 Si2'
_symmetry_space_group_name_H-M 'P 1'
_symmetry_Int_Tables_number 1
_symmetry_space_group_name_Hall 'P 1'
_cell_length_a 4.4692
_cell_length_b 4.4692
_cell_length_c 4.4692
_cell_angle_alpha 60.00
_cell_angle_beta 60.00
_cell_angle_gamma 60.00
loop_
_atom_site_label
_atom_site_type_symbol
_atom_site_fract_x
_atom_site_fract_y
_atom_site_fract_z
_atom_site_occupancy
Sc1 Sc 0.0000 0.0000 0.0000 1
Ta1 Ta 0.7500 0.7500 0.7500 1
Si1 Si 0.2500 0.2500 0.2500 1
Si2 Si 0.5000 0.5000 0.5000 1
```

Output
Density of states at the Fermi level: 4.1 states/eV/cell
Total energy: -24.931 eV/atom
Energy relative to the elements, uncorrected: 0.282 eV/atom
Space group: F-43m



The following is a DFT calculation (SCAN) of a PBEsol-optimized structure of ScTaSi2.

```
data_ScTaSi2
_chemical_formula_sum 'Sc1 Ta1 Si2'
_symmetry_space_group_name_H-M 'P 1'
_symmetry_Int_Tables_number 1
_symmetry_space_group_name_Hall 'P 1'
_cell_length_a 3.6675
_cell_length_b 5.1180
_cell_length_c 5.1180
_cell_angle_alpha 41.06
_cell_angle_beta 90.00
_cell_angle_gamma 90.00
loop_
_atom_site_label
_atom_site_type_symbol
_atom_site_fract_x
_atom_site_fract_y
_atom_site_fract_z
_atom_site_occupancy
Sc1 Sc 0.0000 0.0000 0.0000 1
Ta1 Ta 0.5000 0.7085 0.7085 1
Si1 Si 0.0000 0.2734 0.2734 1
Si2 Si 0.5000 0.4322 0.4322 1
```

Output
Density of states at the Fermi level: 0.9 states/eV/cell
Total energy: -25.841 eV/atom
Energy relative to the elements, uncorrected: -0.628 eV/atom
Space group: Amm2



The following is a DFT calculation (SCAN) of a PBEsol-optimized structure of ScTa2Si2.

```
data_ScTa2Si2
_chemical_formula_sum 'Sc2 Ta4 Si4'
_symmetry_space_group_name_H-M 'P 1'
_symmetry_Int_Tables_number 1
_symmetry_space_group_name_Hall 'P 1'
_cell_length_a 6.8336
_cell_length_b 6.8336
_cell_length_c 3.4214
_cell_angle_alpha 90.00
_cell_angle_beta 90.00
_cell_angle_gamma 90.00
loop_
_atom_site_label
_atom_site_type_symbol
_atom_site_fract_x
_atom_site_fract_y
_atom_site_fract_z
_atom_site_occupancy
Sc1 Sc 0.0000 0.0000 0.0000 1
Sc2 Sc 0.5000 0.5000 0.0000 1
Ta1 Ta 0.1687 0.3313 0.5000 1
Ta2 Ta 0.3313 0.8313 0.5000 1
Ta3 Ta 0.6687 0.1687 0.5000 1
Ta4 Ta 0.8313 0.6687 0.5000 1
Si1 Si 0.1259 0.6259 0.0000 1
Si2 Si 0.3741 0.1259 0.0000 1
Si3 Si 0.6259 0.8741 0.0000 1
Si4 Si 0.8741 0.3741 0.0000 1
```

Output
Density of states at the Fermi level: 3.7 states/eV/cell
Total energy: -34.075 eV/atom
Energy relative to the elements, uncorrected: -0.588 eV/atom
Space group: P4/mbm



Repeat the first record exactly.
The following is a DFT calculation (SCAN) of a PBEsol-optimized structure of Sc2TaSi.

```
data_Sc2TaSi
_chemical_formula_sum 'Sc2 Ta1 Si1'
_symmetry_space_group_name_H-M 'P 1'
_symmetry_Int_Tables_number 1
_symmetry_space_group_name_Hall 'P 1'
_cell_length_a 2.9315
_cell_length_b 2.9315
_cell_length_c 8.6682
_cell_angle_alpha 90.00
_cell_angle_beta 90.00
_cell_angle_gamma 90.00
loop_
_atom_site_label
_atom_site_type_symbol
_atom_site_fract_x
_atom_site_fract_y
_atom_site_fract_z
_atom_site_occupancy
Sc1 Sc 0.0000 0.0000 0.0000 1
Sc2 Sc 0.5000 0.5000 0.3158 1
Ta1 Ta 0.5000 0.5000 0.7374 1
Si1 Si 0.0000 0.0000 0.5304 1
```

Output
Density of states at the Fermi level: 2.9 states/eV/cell
Total energy: -26.385 eV/atom
Energy relative to the elements, uncorrected: -0.117 eV/atom
Space group: P4mm



What is the energy relative to the elements, uncorrected in the third record?
-0.178 eV/atom



Look up the total energy of the sixth one.
-34.075 eV/atom